The following is a DFT calculation (PBE) of an optimized crystal structure of MnInBr2.

Structure (POSCAR):
```
MnInBr2
1.0
0.0000 3.7970 3.7970
3.7970 0.0000 3.7970
3.7970 3.7970 0.0000
Mn In Br
1 1 2
Direct
0.0000 0.0000 0.0000
0.2500 0.2500 0.2500
0.5000 0.5000 0.5000
0.7500 0.7500 0.7500
```

Summary:
For the raw formation energy, the calculation gives 0.206 eV per atom. The value obtained for the offset from the most stable computed form is 0.616 eV per atom.



The following is a DFT calculation (PBE) of an optimized crystal structure of La3Pm8Mg.

Structure (POSCAR):
```
La3Pm8Mg
1.0
-4.3934 4.3934 5.7327
4.3934 -4.3934 5.7327
4.3934 4.3934 -5.7327
La Pm Mg
3 8 1
Direct
0.0000 0.0000 0.0000
0.2500 0.7500 0.5000
0.7500 0.2500 0.5000
0.1277 0.1277 0.7512
0.2499 0.7423 0.0000
0.2577 0.2577 0.5076
0.3765 0.3765 0.2488
0.6235 0.8723 0.0000
0.7423 0.2499 0.0000
0.7501 0.7501 0.4924
0.8723 0.6235 0.0000
0.5000 0.5000 0.0000
```

Summary:
The formation energy is 0.487 eV/atom.



Table of calculated density (Mg/m³), in record order: 4.999 6.007
Table of total energy (eV per atom), in record order: -3.608 -4.045